i.
The following is a PBE calculation of a geometry-optimized CoTe2Br structure, from Alexandria via LeMat-Bulk.

- SG: C2/c

Geometry as POSCAR:
```
CoTe2Br
1.0
3.847 -4.771 0.000
3.847 4.771 0.000
-2.467 0.000 5.871
Co Te Br
2 4 2
Cartesian
1.996 4.218 4.404
3.230 -4.218 1.468
1.619 0.822 0.301
0.385 -0.822 3.237
4.841 0.822 2.634
3.607 -0.822 5.570
1.996 1.829 4.404
3.230 -1.829 1.468
```

=====

ii.
The following is a PBE calculation of a geometry-optimized CoTe2Br structure, from Alexandria via LeMat-Bulk.

- SG: P2_1

Geometry as POSCAR:
```
CoTe2Br
1.0
6.321 0.000 0.000
0.000 5.445 0.000
-1.012 0.000 6.819
Co Te Br
2 4 2
Cartesian
1.084 0.000 2.816
4.225 2.722 4.003
0.241 1.744 4.348
2.112 3.946 4.464
3.197 1.224 2.355
5.068 4.466 2.471
1.620 4.089 0.903
3.689 1.366 5.916
```

=====

iii.
The following is a PBE calculation of a geometry-optimized CoTe2Br structure, from Alexandria via LeMat-Bulk.

- SG: Fm-3m

Geometry as POSCAR:
```
CoTe2Br
1.0
0.000 3.551 3.551
3.551 0.000 3.551
3.551 3.551 0.000
Co Te Br
1 2 1
Cartesian
0.000 0.000 0.000
1.775 1.775 1.775
5.326 5.326 5.326
3.551 3.551 3.551
```

=====

iv.
The following is a PBE calculation of a geometry-optimized CoTe2Br structure, from Alexandria via LeMat-Bulk.

- SG: R3m

Geometry as POSCAR:
```
CoTe2Br
1.0
1.747 1.009 9.819
-1.747 1.009 9.819
0.000 -2.018 9.819
Co Te Br
1 2 1
Cartesian
0.000 0.000 0.000
0.000 0.000 4.499
0.000 0.000 21.283
0.000 0.000 18.096
```

=====

Which of them is most stable? Easy: ii.

=====

i.
The following is a PBE calculation of a geometry-optimized CoTe2Br structure, from Alexandria via LeMat-Bulk.

- SG: R3m

Geometry as POSCAR:
```
CoTe2Br
1.0
1.885 1.089 9.316
-1.885 1.089 9.316
0.000 -2.177 9.316
Co Te Br
1 2 1
Cartesian
0.000 0.000 0.000
0.000 0.000 10.347
0.000 0.000 25.537
0.000 0.000 12.960
```

=====

ii.
The following is a PBE calculation of a geometry-optimized CoTe2Br structure, from Alexandria via LeMat-Bulk.

- SG: C2/m

Geometry as POSCAR:
```
CoTe2Br
1.0
3.320 -1.918 0.000
3.320 1.918 0.000
-2.270 0.000 7.526
Co Te Br
1 2 1
Cartesian
0.000 0.000 0.000
-0.056 0.000 6.259
4.427 0.000 1.268
2.185 0.000 3.763
```

=====

iii.
The following is a PBE calculation of a geometry-optimized CoTe2Br structure, from Alexandria via LeMat-Bulk.

- SG: Cm

Geometry as POSCAR:
```
CoTe2Br
1.0
6.205 -1.688 0.000
6.205 1.688 0.000
-1.899 0.000 5.687
Co Te Br
1 2 1
Cartesian
0.000 0.000 0.000
2.382 0.000 5.499
4.597 0.000 3.766
7.323 0.000 1.410
```

=====

Which of them is most stable? Easy: ii.

=====

i.
The following is a PBE calculation of a geometry-optimized CoTe4Br structure, from Alexandria via LeMat-Bulk.

- SG: C2/m

Geometry as POSCAR:
```
CoTe4Br
1.0
7.423 -4.209 0.000
7.423 4.209 0.000
-1.087 0.000 6.736
Co Te Br
2 8 2
Cartesian
-0.313 0.000 2.101
14.071 0.000 4.635
5.475 2.426 3.121
7.423 2.740 0.000
2.392 0.000 1.726
8.283 2.426 3.615
5.475 -2.426 3.121
11.366 0.000 5.011
7.423 -2.740 0.000
8.283 -2.426 3.615
5.436 0.000 0.789
8.322 0.000 5.947
```

=====

ii.
The following is a PBE calculation of a geometry-optimized CoTe4Br structure, from Alexandria via LeMat-Bulk.

- SG: F-43m

Geometry as POSCAR:
```
CoTe4Br
1.0
0.000 4.456 4.456
4.456 0.000 4.456
4.456 4.456 0.000
Co Te Br
1 4 1
Cartesian
0.000 0.000 0.000
5.569 3.343 3.343
3.343 5.569 3.343
3.343 3.343 5.569
5.569 5.569 5.569
2.228 2.228 2.228
```

=====

Which of them is most stable? Easy: i.